Computed, not measured: a geometry-optimized Ba5PtBr5 structure at the PBE level of DFT.

Cell and atoms, written as POSCAR:
```
Ba5PtBr5
1.0
7.845 -3.322 0.000
7.845 3.322 0.000
-3.004 0.000 9.066
Ba Pt Br
5 1 5
Direct
0.000 0.000 0.000
0.351 0.351 0.693
0.357 0.357 0.160
0.643 0.643 0.840
0.649 0.649 0.307
0.500 0.500 0.000
0.180 0.180 0.846
0.193 0.193 0.335
0.500 0.500 0.500
0.807 0.807 0.665
0.820 0.820 0.154
```

E	-3.810	eV per atom
theoretical density	4.50	g/cm3

=====

Computed, not measured: a geometry-optimized Rb2BaPtBr6 structure at the PBE level of DFT.

Cell and atoms, written as POSCAR:
```
Rb2BaPtBr6
1.0
0.000 5.808 5.808
5.808 0.000 5.808
5.808 5.808 0.000
Rb Ba Pt Br
2 1 1 6
Direct
0.250 0.250 0.250
0.750 0.750 0.750
0.000 0.000 0.000
0.500 0.500 0.500
0.270 0.270 0.730
0.270 0.730 0.270
0.270 0.730 0.730
0.730 0.270 0.270
0.730 0.270 0.730
0.730 0.730 0.270
```

E	-3.242	eV per atom
theoretical density	4.16	g/cm3

=====

Computed, not measured: a geometry-optimized Ba6PtRh2Br3 structure at the PBE level of DFT.

Cell and atoms, written as POSCAR:
```
Ba6PtRh2Br3
1.0
3.955 -6.851 0.000
3.955 6.851 0.000
-2.639 0.000 8.188
Ba Pt Rh Br
6 1 2 3
Direct
0.088 0.430 0.789
0.229 0.229 0.211
0.430 0.088 0.789
0.570 0.912 0.211
0.771 0.771 0.789
0.912 0.570 0.211
0.500 0.500 0.000
0.167 0.833 0.000
0.833 0.167 0.000
0.000 0.000 0.500
0.333 0.667 0.500
0.667 0.333 0.500
```

E	-4.158	eV per atom
theoretical density	5.48	g/cm3